1.
## CrIrPt2 (PBE-GGA)

Data for CrIrPt2 after structural relaxation.

Values from the calculation:
Energy relative to the elements, eV/atom: -0.13
Crystal system: tetragonal
Density of states at the Fermi level, states/eV/cell: 11.9

Unit cell a=3.8676 b=3.8676 c=7.8346 alpha=90.00 beta=90.00 gamma=90.00
Space group I4/mmm (No. 139)
Symmetry-distinct sites (fractional):
1 Cr 0.0000 0.0000 0.0000 (multiplicity 2)
2 Ir 0.0000 0.0000 0.5000 (multiplicity 2)
3 Pt 0.0000 0.5000 0.2500 (multiplicity 4)

=====

2.
## Nd2DyHoTe6 (PBE-GGA)

Data for Nd2DyHoTe6 after structural relaxation.

Values from the calculation:
Total DFT energy (no corrections), eV/cell: -153.8
Crystal system: trigonal

Unit cell a=7.8311 b=7.8311 c=21.2178 alpha=90.00 beta=90.00 gamma=120.00
Space group R3 (No. 146, hexagonal axes)
Symmetry-distinct sites (fractional):
1 Nd 0.0000 0.0000 0.0000 (multiplicity 3)
2 Nd 0.0000 0.0000 0.4996 (multiplicity 3)
3 Dy 0.0000 0.0000 0.1898 (multiplicity 3)
4 Ho 0.0000 0.0000 0.6894 (multiplicity 3)
5 Te 0.0327 0.3470 0.7655 (multiplicity 9)
6 Te 0.0329 0.6842 0.2656 (multiplicity 9)

=====

3.
## TlB3O6 (PBE-GGA)

Data for TlB3O6 after structural relaxation.

Values from the calculation:
Total DFT energy (no corrections), eV/cell: -284.6
Crystal system: orthorhombic
Density of states at the Fermi level, states/eV/cell: 0.3

Unit cell a=6.3400 b=8.3302 c=7.7683 alpha=90.00 beta=90.00 gamma=90.00
Space group Ibam (No. 72)
Symmetry-distinct sites (fractional):
1 Tl 0.0000 0.0000 0.2500 (multiplicity 4)
2 B 0.0000 0.5000 0.2500 (multiplicity 4)
3 B 0.1165 0.3147 0.0000 (multiplicity 8)
4 O 0.0653 0.1559 0.0000 (multiplicity 8)
5 O 0.1463 0.3970 0.1531 (multiplicity 16)

=====

4.
## ScTe4 (PBE-GGA)

Data for ScTe4 after structural relaxation.

Values from the calculation:
Distance to the lowest polymorph of the same formula, eV per atom: 0.277
Crystal system: tetragonal
Density of states at the Fermi level, states/eV/cell: 4.1

Unit cell a=6.2586 b=6.2586 c=9.1910 alpha=90.00 beta=90.00 gamma=90.00
Space group I4/mmm (No. 139)
Symmetry-distinct sites (fractional):
1 Sc 0.0000 0.0000 0.0000 (multiplicity 2)
2 Te 0.0000 0.0000 0.2988 (multiplicity 4)
3 Te 0.0000 0.5000 0.2500 (multiplicity 4)

=====

5.
## ScCl (PBE-GGA)

Data for ScCl after structural relaxation.

Values from the calculation:
Total DFT energy (no corrections), eV/cell: -10.5
Crystal system: hexagonal
Density of states at the Fermi level, states/eV/cell: 0.2

Unit cell a=3.3405 b=3.3405 c=3.8276 alpha=90.00 beta=90.00 gamma=120.00
Space group P-6m2 (No. 187)
Symmetry-distinct sites (fractional):
1 Sc 0.0000 0.0000 0.0000 (multiplicity 1)
2 Cl 0.3333 0.6667 0.5000 (multiplicity 1)

=====

6.
## Hg3NF (PBE-GGA)

Data for Hg3NF after structural relaxation.

Values from the calculation:
Distance to the lowest polymorph of the same formula, eV per atom: 0.000
Crystal system: triclinic
Density of states at the Fermi level, states/eV/cell: 1.0

Unit cell a=4.0850 b=6.2929 c=8.8685 alpha=103.05 beta=100.91 gamma=100.20
Space group P-1 (No. 2)
Symmetry-distinct sites (fractional):
1 Hg 0.0205 0.2500 0.3855 (multiplicity 2)
2 Hg 0.3473 0.8398 0.1697 (multiplicity 2)
3 Hg 0.4773 0.3969 0.1186 (multiplicity 2)
4 N 0.4691 0.2106 0.2969 (multiplicity 2)
5 F 0.0646 0.2307 0.6615 (multiplicity 2)

=====

7.
## UGaFe4 (PBE-GGA)

Data for UGaFe4 after structural relaxation.

Values from the calculation:
Energy relative to the elements, eV/atom: -0.03
Crystal system: cubic
Density of states at the Fermi level, states/eV/cell: 43.6

Unit cell a=6.9316 b=6.9316 c=6.9316 alpha=90.00 beta=90.00 gamma=90.00
Space group F-43m (No. 216)
Symmetry-distinct sites (fractional):
1 U 0.0000 0.0000 0.0000 (multiplicity 4)
2 Ga 0.2500 0.2500 0.7500 (multiplicity 4)
3 Fe 0.1236 0.1236 0.3764 (multiplicity 16)

=====

8.
## Li2Th2Cu15 (PBE-GGA)

Data for Li2Th2Cu15 after structural relaxation.

Values from the calculation:
Energy relative to the elements, eV/atom: -0.11
Crystal system: trigonal
Density of states at the Fermi level, states/eV/cell: 33.0

Unit cell a=8.6574 b=8.6574 c=12.6572 alpha=90.00 beta=90.00 gamma=120.00
Space group R-3m (No. 166, hexagonal axes)
Symmetry-distinct sites (fractional):
1 Li 0.0000 0.0000 0.0927 (multiplicity 6)
2 Th 0.0000 0.0000 0.3479 (multiplicity 6)
3 Cu 0.0000 0.3003 0.0000 (multiplicity 18)
4 Cu 0.9999 0.5000 0.1551 (multiplicity 18)
5 Cu 0.0000 0.5000 0.5000 (multiplicity 9)